No. 1
Density functional theory data (SCAN) for a PBEsol-optimized structure of CsMg2SbAs.

## Properties
Total magnetic moment (μB per formula unit): 0.00
Uncorrected energy (eV per atom): -19.5743

Lattice parameters (Å, degrees): 5.8839 5.8839 5.4075 90.00 90.00 90.00
Space group P4/mmm (No. 123)
Inequivalent atoms, fractional coordinates:
1 Cs 0.0000 0.0000 0.0000 (multiplicity 1)
2 Mg 0.0000 0.5000 0.0000 (multiplicity 2)
3 Sb 0.5000 0.5000 0.5000 (multiplicity 1)
4 As 0.0000 0.0000 0.5000 (multiplicity 1)

***

No. 2
Density functional theory data (SCAN) for a PBEsol-optimized structure of CoRe2Pb2.

## Properties
E_form (eV/atom): 1.06
Total magnetic moment (μB per formula unit): 1.95

Lattice parameters (Å, degrees): 3.4698 3.4698 16.8077 90.00 90.00 90.00
Space group I4/mmm (No. 139)
Inequivalent atoms, fractional coordinates:
1 Co 0.0000 0.0000 0.0000 (multiplicity 2)
2 Re 0.0000 0.5000 0.2500 (multiplicity 4)
3 Pb 0.0000 0.0000 0.4024 (multiplicity 4)

***

No. 3
Density functional theory data (SCAN) for a PBEsol-optimized structure of KSb2As2.

## Properties
Total magnetic moment (μB per formula unit): 0.00
ΔE to the lowest computed polymorph (kJ per mole of atoms): 0.0

Lattice parameters (Å, degrees): 5.2739 5.2739 10.6153 90.00 90.00 90.00
Space group I4/mmm (No. 139)
Inequivalent atoms, fractional coordinates:
1 K 0.0000 0.0000 0.0000 (multiplicity 2)
2 Sb 0.0000 0.0000 0.3421 (multiplicity 4)
3 As 0.0000 0.5000 0.2500 (multiplicity 4)

***

Which formula does entry 2 have? CoRe2Pb2

***

What did the third record say?
Density functional theory data (SCAN) for a PBEsol-optimized structure of KSb2As2.

## Properties
Total magnetic moment (μB per formula unit): 0.00
ΔE to the lowest computed polymorph (kJ per mole of atoms): 0.0

Lattice parameters (Å, degrees): 5.2739 5.2739 10.6153 90.00 90.00 90.00
Space group I4/mmm (No. 139)
Inequivalent atoms, fractional coordinates:
1 K 0.0000 0.0000 0.0000 (multiplicity 2)
2 Sb 0.0000 0.0000 0.3421 (multiplicity 4)
3 As 0.0000 0.5000 0.2500 (multiplicity 4)

***

What is the formula in the third record? KSb2As2